# 1
DFT (PBE) results for a relaxed structure of Ba2TcRu.

The structure belongs to space group P4/mmm (No. 123); the cell edges are 5.420, 5.420 and 3.757 Å and the angles 90.00°, 90.00° and 90.00°. Symmetry generates all atoms from Ba at (0.000, 0.500, 0.000), Tc at (0.000, 0.000, 0.500) and Ru at (0.500, 0.500, 0.500).

The calculation puts the energy above the lowest structure with this stoichiometry at 373.7 kJ/mol of formula units. Its energy is -0.34179 Ry/atom. The calculation puts the energy relative to the elements at 118 kJ per mole of atoms.

# 2
DFT (PBE) results for a relaxed structure of Ba2TcRu.

The structure belongs to space group I-42d (No. 122); the cell edges are 11.942, 11.942 and 4.642 Å and the angles 90.00°, 90.00° and 90.00°. Symmetry generates all atoms from Ba at (0.071, 0.250, 0.125), Tc at (0.000, 0.000, 0.500) and Ru at (0.000, 0.000, 0.000).

The calculation puts the energy above the lowest structure with this stoichiometry at 208.7 kJ/mol of formula units. Its energy is -0.37323 Ry/atom. The calculation puts the energy relative to the elements at 77 kJ per mole of atoms.

# 3
DFT (PBE) results for a relaxed structure of Ba2Tc2Ru.

The structure belongs to space group P4/mbm (No. 127); the cell edges are 9.414, 9.414 and 3.138 Å and the angles 90.00°, 90.00° and 90.00°. Symmetry generates all atoms from Ba at (0.206, 0.294, 0.000), Tc at (0.080, 0.580, 0.500) and Ru at (0.000, 0.000, 0.000).

The calculation puts the energy above the lowest structure with this stoichiometry at 310.6 kJ/mol of formula units. Its energy is -0.39092 Ry/atom. The calculation puts the energy relative to the elements at 140 kJ per mole of atoms.

# 4
DFT (PBE) results for a relaxed structure of Ba2TcRu.

The structure belongs to space group Pmmm (No. 47); the cell edges are 3.718, 4.304 and 6.953 Å and the angles 90.00°, 90.00° and 90.00°. Symmetry generates all atoms from Ba at (0.000, 0.000, 0.242), Tc at (0.500, 0.500, 0.500) and Ru at (0.500, 0.500, 0.000).

The calculation puts the energy above the lowest structure with this stoichiometry at 366.8 kJ/mol of formula units. Its energy is -0.34311 Ry/atom. The calculation puts the energy relative to the elements at 116 kJ per mole of atoms.

# 5
DFT (PBE) results for a relaxed structure of BaTcRu2.

The structure belongs to space group Cm (No. 8); the cell edges are 7.615, 4.304 and 6.451 Å and the angles 90.00°, 112.60° and 90.00°. Symmetry generates all atoms from Ba at (0.000, 0.000, 0.000), Tc at (0.308, 0.500, 0.431), Ru at (0.001, 0.500, 0.501) and Ru at (0.193, 0.000, 0.570).

The calculation puts the energy above the lowest structure with this stoichiometry at 13.2 kJ/mol of formula units. Its energy is -0.53287 Ry/atom. The calculation puts the energy relative to the elements at 44 kJ per mole of atoms.

# 6
DFT (PBE) results for a relaxed structure of Ba2TcRu.

The structure belongs to space group Cmmm (No. 65); the cell edges are 6.719, 9.093 and 3.580 Å and the angles 90.00°, 90.00° and 90.00°. Symmetry generates all atoms from Ba at (0.250, 0.250, 0.000), Tc at (0.000, 0.000, 0.500) and Ru at (0.000, 0.500, 0.500).

The calculation puts the energy above the lowest structure with this stoichiometry at 369.7 kJ/mol of formula units. Its energy is -0.34256 Ry/atom. The calculation puts the energy relative to the elements at 117 kJ per mole of atoms.